A relaxed TcP2Pt crystal, computed with PBE.

Calculated values
Energy in eV/atom: -6.600
Energy above the lowest structure with this stoichiometry in eV/f.u.: 2.41
Calculated formation energy in meV/atom: 207

Cell lengths 2.9674, 3.9303, 5.0625 Å; angles 90.00, 90.00, 90.00 degrees
Space group Pmmm (No. 47)
Unique sites:
Tc  0.0000  0.0000  0.0000 x1
P  0.0000  0.5000  0.5000 x1
P  0.5000  0.5000  0.0000 x1
Pt  0.5000  0.0000  0.5000 x1